# 1
Tb2Pr2Ge3: optimized geometry, PBE.

- space-group type = No. 12

abc: 4.185 7.076 7.718
angles: 100.02 90.00 107.19
Fractional positions:
Tb1 0.368 0.736 0.097
Tb2 0.632 0.264 0.903
Ge1 0.000 0.000 0.000
Ge2 0.765 0.530 0.260
Ge3 0.235 0.470 0.740
Pr1 0.871 0.741 0.639
Pr2 0.129 0.259 0.361

# 2
PaBe2Rh: optimized geometry, PBE.

- excess energy over the best structure of this formula in the dataset (kJ/mol of formula units) = 67
- space-group type = No. 225

abc: 4.353 4.353 4.353
angles: 60.00 60.00 60.00
Fractional positions:
Be1 0.750 0.750 0.750
Be2 0.250 0.250 0.250
Pa1 0.000 0.000 0.000
Rh1 0.500 0.500 0.500

Formation enthalpy at 0 K per entry: -0.606; -0.131 eV/atom